## La2ZrAs4Ir3 (PBE-GGA)

Data for La2ZrAs4Ir3 after structural relaxation.

```
La2ZrAs4Ir3
1.0
4.381 0.000 0.000
0.000 4.381 0.000
0.000 0.000 10.498
La Zr As Ir
2 1 4 3
direct
0.000 0.500 0.228 La
0.500 0.000 0.772 La
0.000 0.000 0.500 Zr
0.000 0.000 0.000 As
0.000 0.500 0.649 As
0.500 0.000 0.351 As
0.500 0.500 0.000 As
0.000 0.500 0.889 Ir
0.500 0.000 0.111 Ir
0.500 0.500 0.500 Ir
```

Output
The calculation puts the density of states at the Fermi level at 3.83 states/eV/cell. The space group is No. 115. As for the theoretical density: 10266 kg/m3. The formation energy from the elements comes out at -0.901 eV per atom.


## Re5Rh (PBE-GGA)

Data for Re5Rh after structural relaxation.

```
Re5Rh
1.0
5.062 0.000 0.000
-2.531 4.384 0.000
0.000 0.000 4.525
Re Rh
5 1
direct
0.000 0.500 0.000 Re
0.333 0.667 0.500 Re
0.500 0.000 0.000 Re
0.500 0.500 0.000 Re
0.667 0.333 0.500 Re
0.000 0.000 0.500 Rh
```

Output
The calculation puts the density of states at the Fermi level at 3.89 states/eV/cell. The space group is No. 191. As for the theoretical density: 17096 kg/m3. The formation energy from the elements comes out at 0.618 eV per atom.


## Pb2WCl (PBE-GGA)

Data for Pb2WCl after structural relaxation.

```
Pb2WCl
1.0
-2.342 2.342 4.343
2.342 -2.342 4.343
2.342 2.342 -4.343
Pb W Cl
2 1 1
direct
0.250 0.750 0.500 Pb
0.750 0.250 0.500 Pb
0.000 0.000 0.000 W
0.500 0.500 0.000 Cl
```

Output
The calculation puts the density of states at the Fermi level at 4.10 states/eV/cell. The space group is No. 139. As for the theoretical density: 11042 kg/m3. For the uncorrected formation energy, the calculation gives 934 meV/atom.


## KZnPb2O (PBE-GGA)

Data for KZnPb2O after structural relaxation.

```
KZnPb2O
1.0
6.155 0.000 0.000
0.000 6.155 0.000
0.000 0.000 3.661
K Zn Pb O
1 1 2 1
direct
0.000 0.000 0.000 K
0.500 0.500 0.500 Zn
0.000 0.500 0.500 Pb
0.500 0.000 0.500 Pb
0.500 0.500 0.000 O
```

Output
The calculation puts the density of states at the Fermi level at 2.65 states/eV/cell. The space group is No. 123. As for the theoretical density: 6403 kg/m3. For the uncorrected formation energy, the calculation gives -87 meV/atom.


## Rb3U2TlSe6 (PBE-GGA)

Data for Rb3U2TlSe6 after structural relaxation.

```
Rb3U2TlSe6
1.0
10.044 -2.161 0.000
10.044 2.161 0.000
-2.615 0.000 9.254
Rb U Tl Se
3 2 1 6
direct
0.000 0.000 0.000 Rb
0.348 0.348 0.658 Rb
0.652 0.652 0.342 Rb
0.330 0.330 0.162 U
0.670 0.670 0.838 U
0.000 0.000 0.500 Tl
0.174 0.174 0.644 Se
0.179 0.179 0.049 Se
0.470 0.470 0.239 Se
0.530 0.530 0.761 Se
0.821 0.821 0.951 Se
0.826 0.826 0.356 Se
```

Output
The calculation puts the density of states at the Fermi level at 13.39 states/eV/cell. The space group is No. 12. As for the theoretical density: 5832 kg/m3. For the uncorrected formation energy, the calculation gives -1142 meV/atom.


## Sc2PPb (PBE-GGA)

Data for Sc2PPb after structural relaxation.

```
Sc2PPb
1.0
3.082 -3.762 0.000
3.082 3.762 0.000
0.000 0.000 3.650
Sc P Pb
2 1 1
direct
0.000 0.500 0.000 Sc
0.500 0.000 0.000 Sc
0.000 0.000 0.500 P
0.500 0.500 0.500 Pb
```

Output
The calculation puts the density of states at the Fermi level at 3.49 states/eV/cell. The space group is No. 65. As for the theoretical density: 6437 kg/m3. The formation energy from the elements comes out at -0.461 eV per atom.


## Pr2Ho8Sc (PBE-GGA)

Data for Pr2Ho8Sc after structural relaxation.

```
Pr2Ho8Sc
1.0
8.221 -3.302 0.000
8.221 3.302 0.000
-1.337 0.000 6.498
Pr Ho Sc
2 8 1
direct
0.190 0.190 0.302 Pr
0.810 0.810 0.698 Pr
0.177 0.657 0.108 Ho
0.244 0.244 0.815 Ho
0.343 0.823 0.892 Ho
0.410 0.410 0.589 Ho
0.590 0.590 0.411 Ho
0.657 0.177 0.108 Ho
0.756 0.756 0.185 Ho
0.823 0.343 0.892 Ho
0.000 0.000 0.500 Sc
```

Output
The calculation puts the density of states at the Fermi level at 16.42 states/eV/cell. The space group is No. 12. As for the theoretical density: 7747 kg/m3. The formation energy from the elements comes out at 0.164 eV per atom.


## Hf2MgHg (PBE-GGA)

Data for Hf2MgHg after structural relaxation.

```
Hf2MgHg
1.0
1.532 0.884 11.244
-1.532 0.884 11.244
0.000 -1.769 11.244
Hf Mg Hg
2 1 1
direct
0.090 0.090 0.090 Hf
0.910 0.910 0.910 Hf
0.000 0.000 0.000 Mg
0.500 0.500 0.500 Hg
```

Output
The calculation puts the density of states at the Fermi level at 3.37 states/eV/cell. The space group is No. 166. As for the theoretical density: 10571 kg/m3. The formation energy from the elements comes out at 0.292 eV per atom.